1.
The following is a DFT calculation (PBE-GGA) of a geometry-optimized Na3CePm2Se6 structure.

a = 7.398 Å, b = 7.398 Å, c = 7.412 Å
α = 99.58°, β = 99.58°, γ = 120.00°
Sites, in units of the cell vectors:
1 Na 0.167 0.833 0.500
2 Na 0.833 0.167 0.500
3 Na 0.500 0.500 0.500
4 Ce 0.000 0.000 0.000
5 Pm 0.333 0.667 0.000
6 Pm 0.667 0.333 0.000
7 Se 0.922 0.587 0.765
8 Se 0.744 0.744 0.235
9 Se 0.078 0.413 0.235
10 Se 0.587 0.922 0.765
11 Se 0.256 0.256 0.765
12 Se 0.413 0.078 0.235

Computed properties:
formation energy without anion corrections	-1.67	eV/atom
mass density	4.9	g/cm³
magnetic moment	1.0	Bohr magnetons per cell

=====

2.
The following is a DFT calculation (PBE-GGA) of a geometry-optimized Na2CePmSe4 structure.

a = 4.280 Å, b = 7.409 Å, c = 7.409 Å
α = 109.49°, β = 90.00°, γ = 90.00°
Sites, in units of the cell vectors:
1 Na 0.500 0.000 0.500
2 Na 0.000 0.500 0.500
3 Ce 0.500 0.500 0.000
4 Pm 0.000 0.000 0.000
5 Se 0.500 0.244 0.235
6 Se 0.500 0.756 0.765
7 Se 0.000 0.253 0.764
8 Se 0.000 0.747 0.236

Computed properties:
formation energy without anion corrections	-1.65	eV/atom
mass density	4.8	g/cm³
magnetic moment	1.0	Bohr magnetons per cell

=====

3.
The following is a DFT calculation (PBE-GGA) of a geometry-optimized NaCe2PmSe4 structure.

a = 4.206 Å, b = 7.319 Å, c = 7.315 Å
α = 70.66°, β = 90.00°, γ = 90.00°
Sites, in units of the cell vectors:
1 Na 0.500 0.500 0.000
2 Ce 0.000 0.000 0.000
3 Ce 0.500 0.000 0.500
4 Pm 0.000 0.500 0.500
5 Se 0.000 0.749 0.749
6 Se 0.000 0.251 0.251
7 Se 0.500 0.747 0.249
8 Se 0.500 0.253 0.751

Computed properties:
formation energy without anion corrections	-1.73	eV/atom
mass density	6.0	g/cm³
magnetic moment	2.4	Bohr magnetons per cell